[1]
Entry from OQMD: crystalline BaAg2GeTe3S at its relaxed geometry (GGA-PBE).

Cell lengths 6.8406, 6.8692, 6.9992 Å; angles 112.14, 115.64, 99.83 degrees
With the nearest neighbours (Å) after each atom.
Space group P1 (No. 1)
Unique sites:
Ba1 0.0000 0.0000 0.0000 x1  2 S 3.43-3.69, 6 Te 3.54-3.66
Ag1 0.1727 0.6975 0.4835 x1  2 Te 2.72
Ag2 0.8498 0.3663 0.5351 x1  1 S 2.52, 1 Te 2.77
Ge1 0.4676 0.5227 0.0027 x1  1 S 2.26
Te1 0.4592 0.4773 0.6077 x1  1 Ge 2.64, 1 Ag 2.72
Te2 0.5382 0.1685 0.0334 x1  1 Ge 2.63, 1 Ag 2.77
Te3 0.8480 0.8866 0.3955 x1  1 Ge 2.64, 1 Ag 2.72
S1 0.1357 0.5389 0.9903 x1  1 Ge 2.26, 1 Ag 2.52


[2]
Entry from OQMD: crystalline BaAg2GeTeSe3 at its relaxed geometry (GGA-PBE).

Cell lengths 6.7079, 6.7165, 6.8406 Å; angles 111.80, 115.71, 100.22 degrees
With the nearest neighbours (Å) after each atom.
Space group P1 (No. 1)
Unique sites:
Ba1 0.0000 0.0000 0.0000 x1  6 Se 3.45-3.62, 2 Te 3.57-3.58
Ag1 0.1885 0.6726 0.4953 x1  1 Se 2.58, 1 Te 2.71
Ag2 0.8039 0.3193 0.4828 x1  3 Se 2.62-2.93
Ge1 0.4742 0.4731 0.9689 x1  3 Se 2.40-2.41, 1 Te 2.62
Te1 0.8458 0.8465 0.3780 x1  1 Ge 2.62, 1 Ag 2.71
Se1 0.1224 0.5060 0.9652 x1  1 Ge 2.40, 1 Ag 2.62
Se2 0.4646 0.4580 0.6068 x1  1 Ge 2.41, 1 Ag 2.58
Se3 0.5184 0.1346 0.9951 x1  1 Ge 2.40, 1 Ag 2.62


[3]
Entry from OQMD: crystalline BaAg2SnGe at its relaxed geometry (GGA-PBE).

E above lowest polymorph = 0 meV/atom

Cell lengths 4.7812, 4.7812, 11.2549 Å; angles 90.00, 90.00, 90.00 degrees
With the nearest neighbours (Å) after each atom.
Space group I4mm (No. 107)
Unique sites:
Ba1 0.0000 0.0000 0.0000 x2  8 Ag 3.61-3.78, 4 Sn 3.65, 4 Ge 3.65
Ag1 0.0000 0.5000 0.2400 x4  2 Ge 2.73, 2 Sn 2.85
Sn1 0.0000 0.0000 0.3780 x2  1 Ge 2.75, 4 Ag 2.85
Ge1 0.0000 0.0000 0.6225 x2  4 Ag 2.73, 1 Sn 2.75


[4]
Entry from OQMD: crystalline BaAg2SnGe at its relaxed geometry (GGA-PBE).

E above lowest polymorph = 24 meV/atom

Cell lengths 4.7115, 4.7115, 11.4689 Å; angles 90.00, 90.00, 90.00 degrees
With the nearest neighbours (Å) after each atom.
Space group P4/nmm (No. 129, origin choice 2)
Unique sites:
Ba1 0.2500 0.2500 0.2345 x2  8 Ag 3.58-3.59, 4 Ge 3.58, 4 Sn 3.85
Ag1 0.2500 0.2500 0.6489 x2  1 Ge 2.65, 4 Sn 2.91
Ag2 0.2500 0.7500 0.0000 x2  4 Ge 2.73
Sn1 0.2500 0.7500 0.5000 x2  4 Ag 2.91
Ge1 0.2500 0.2500 0.8804 x2  5 Ag 2.65-2.73


[5]
Entry from OQMD: crystalline BaSrAgGe3 at its relaxed geometry (GGA-PBE).

E above lowest polymorph = 0 meV/atom

Cell lengths 8.9270, 9.6538, 15.3200 Å; angles 90.00, 90.00, 90.00 degrees
With the nearest neighbours (Å) after each atom.
Space group Fmmm (No. 69)
Unique sites:
Ba1 0.0000 0.2466 0.0000 x8  10 Ge 3.47-3.57, 2 Ag 3.55
Sr1 0.2500 0.2500 0.2500 x8  8 Ge 3.52-3.54, 4 Ag 3.52
Ag1 0.0000 0.0000 0.3320 x8  3 Ge 2.56-2.61
Ge1 0.0000 0.0000 0.1646 x8  2 Ge 2.53, 1 Ag 2.56
Ge2 0.2468 0.0000 0.0831 x16  2 Ge 2.53-2.55, 1 Ag 2.61


[6]
Entry from OQMD: crystalline Ba2MgAgH6 at its relaxed geometry (GGA-PBE).

Cell lengths 8.2122, 8.2122, 8.2122 Å; angles 90.00, 90.00, 90.00 degrees
With the nearest neighbours (Å) after each atom.
Space group Fm-3m (No. 225)
Unique sites:
Ba1 0.2500 0.2500 0.2500 x8  12 H 2.90
Mg1 0.0000 0.0000 0.0000 x4  6 H 2.01
Ag1 0.0000 0.0000 0.5000 x4  6 H 2.09
H1 0.0000 0.0000 0.2449 x24  1 Mg 2.01, 1 Ag 2.09


[7]
Entry from OQMD: crystalline Ba2HfAg at its relaxed geometry (GGA-PBE).

magnetization = 0.36 μB per atom

Cell lengths 7.9283, 7.9283, 7.9283 Å; angles 90.00, 90.00, 90.00 degrees
With the nearest neighbours (Å) after each atom.
Space group F-43m (No. 216)
Unique sites:
Ba1 0.0000 0.0000 0.0000 x4  4 Ba 3.43, 4 Hf 3.43
Ba2 0.2500 0.2500 0.2500 x4  4 Ba 3.43, 4 Ag 3.43
Hf1 0.2500 0.2500 0.7500 x4  4 Ba 3.43, 4 Ag 3.43
Ag1 0.0000 0.0000 0.5000 x4  4 Hf 3.43, 4 Ba 3.43


[8]
Entry from OQMD: crystalline Ba2HfAgS6 at its relaxed geometry (GGA-PBE).

magnetization = 0.00 μB per atom

Cell lengths 9.9937, 9.9937, 9.9937 Å; angles 90.00, 90.00, 90.00 degrees
With the nearest neighbours (Å) after each atom.
Space group Fm-3m (No. 225)
Unique sites:
Ba1 0.2500 0.2500 0.2500 x8  12 S 3.53
Hf1 0.0000 0.0000 0.0000 x4  6 S 2.48
Ag1 0.0000 0.0000 0.5000 x4  6 S 2.51
S1 0.0000 0.0000 0.2486 x24  1 Hf 2.48, 1 Ag 2.51


Sequential energy output: -3.78 -3.89 -3.61 -3.58 -3.91 -3.09 -3.51 -5.26 eV/atom